Material: SrTiO2
Method: DFT, GGA-PBE
State: relaxed

Output
calculated volume = 71.4 Å³/cell
crystal system = trigonal
total magnetization = 0.000 μB per atom
space-group type = R-3m (166)
uncorrected energy = -7.207 eV per atom
DOS at the Fermi energy = 1.0 states/eV per cell
raw formation energy = -2.33 eV/atom

a = 6.6359 Å, b = 6.6359 Å, c = 6.6359 Å
α = 31.65°, β = 31.65°, γ = 31.65°
Positions (direct):
Sr 0.0000 0.0000 0.0000
Ti 0.5000 0.5000 0.5000
O 0.4032 0.4032 0.4032
O 0.5968 0.5968 0.5968